Compound: Li2Hg5Pd12
Source: the Alexandria database
Functional: PBE-GGA
Structure: relaxed

Cell and atoms, written as POSCAR:
```
Li2Hg5Pd12
1.0
6.212 0.000 0.000
-3.106 6.933 1.829
0.000 -0.023 7.480
Li Pd Hg
2 12 5
Direct
0.324 0.000 0.000
0.676 0.000 0.000
0.044 0.088 0.820
0.592 0.696 0.498
0.926 0.289 0.109
0.363 0.289 0.109
0.074 0.711 0.891
0.104 0.696 0.498
0.408 0.304 0.502
0.896 0.304 0.502
0.489 0.979 0.686
0.637 0.711 0.891
0.511 0.021 0.314
0.956 0.912 0.180
0.690 0.380 0.793
0.000 0.000 0.500
0.766 0.531 0.229
0.310 0.620 0.207
0.234 0.469 0.771
```

Space-group type ... C2/m
Uncorrected energy ... -3.63 eV/atom
Spin magnetization ... 0.0 Bohr magnetons per cell